[1]
Here is a relaxed structure of BaYMnCoO5 from Alexandria. Energies are from PBEsol.

Output
Crystal system: tetragonal
Energy relative to the lowest polymorph listed for this composition (eV per formula unit): 0.06

Cell lengths 3.8103, 3.8103, 7.5540 Å; angles 90.00, 90.00, 90.00 degrees
Closest atoms and distances in Å follow each position.
Positions (direct):
Ba 0.0000 0.0000 0.0000  8 O 2.72-2.91
Y 0.0000 0.0000 0.5213  8 O 2.37-2.38
Mn 0.5000 0.5000 0.2922  5 O 1.83-1.93
Co 0.5000 0.5000 0.7073  4 O 1.91
O 0.0000 0.5000 0.3315  2 Mn 1.93
O 0.0000 0.5000 0.7087  2 Co 1.91
O 0.5000 0.0000 0.3315  2 Mn 1.93
O 0.5000 0.0000 0.7087  2 Co 1.91
O 0.5000 0.5000 0.0503  1 Mn 1.83

---

[2]
Here is a relaxed structure of BaBiBrO2 from Alexandria. Energies are from PBEsol.

Output
Crystal system: tetragonal
DFT total energy (eV per cell): -28.1

Cell lengths 7.3394, 7.3394, 7.3394 Å; angles 147.91, 147.91, 46.02 degrees
Closest atoms and distances in Å follow each position.
Positions (direct):
Ba 0.0000 0.0000 0.0000  4 O 2.59
Bi 0.6901 0.6901 0.0000  4 O 2.25
Br 0.3624 0.3624 0.0000  4 Ba 3.42, 4 Bi 3.69
O 0.1188 0.6188 0.5000  2 Bi 2.25
O 0.6188 0.1188 0.5000  2 Bi 2.25

---

[3]
Here is a relaxed structure of SrMnIr2 from Alexandria. Energies are from PBEsol.

Output
Crystal system: tetragonal
Energy relative to the lowest polymorph listed for this composition (eV per formula unit): 0.35

Cell lengths 3.1765, 3.1765, 7.2654 Å; angles 90.00, 90.00, 90.00 degrees
Closest atoms and distances in Å follow each position.
Positions (direct):
Sr 0.0000 0.0000 0.0000  4 Ir 3.11, 4 Sr 3.18, 4 Mn 3.37
Mn 0.5000 0.5000 0.6543  5 Ir 2.48-2.61
Ir 0.0000 0.0000 0.5099  4 Mn 2.48, 4 Ir 2.73
Ir 0.5000 0.5000 0.2956  1 Mn 2.61, 4 Ir 2.73

---

[4]
Here is a relaxed structure of B10Pb3O20 from Alexandria. Energies are from PBEsol.

Output
Crystal system: trigonal
DFT total energy (eV per cell): -511.1

Cell lengths 9.4542, 9.4542, 8.4514 Å; angles 90.00, 90.00, 120.00 degrees
Closest atoms and distances in Å follow each position.
Positions (direct):
B 0.0000 0.0000 0.2538  3 O 1.37
B 0.0000 0.0000 0.7538  3 O 1.37
B 0.0293 0.3714 0.0000  4 O 1.45-1.49
B 0.1325 0.3225 0.7342  4 O 1.44-1.53
B 0.1770 0.6762 0.9582  4 O 1.44-1.52
B 0.1899 0.8675 0.7342  4 O 1.44-1.53
B 0.3225 0.1325 0.2342  4 O 1.44-1.53
B 0.3238 0.5008 0.9582  4 O 1.44-1.52
B 0.3421 0.9707 0.0000  4 O 1.45-1.49
B 0.3714 0.0293 0.5000  4 O 1.45-1.49
B 0.4992 0.8230 0.9582  4 O 1.44-1.52
B 0.5008 0.3238 0.4582  4 O 1.44-1.52
B 0.6286 0.6579 0.0000  4 O 1.45-1.49
B 0.6579 0.6286 0.5000  4 O 1.45-1.49
B 0.6762 0.1770 0.4582  4 O 1.44-1.52
B 0.6775 0.8101 0.7342  4 O 1.44-1.53
B 0.8101 0.6775 0.2342  4 O 1.44-1.53
B 0.8230 0.4992 0.4582  4 O 1.44-1.52
B 0.8675 0.1899 0.2342  4 O 1.44-1.53
B 0.9707 0.3421 0.5000  4 O 1.45-1.49
Pb 0.1389 0.7313 0.3230  6 O 2.21-2.44
Pb 0.2687 0.4077 0.3230  6 O 2.21-2.44
Pb 0.4077 0.2687 0.8230  6 O 2.21-2.44
Pb 0.5923 0.8611 0.3230  6 O 2.21-2.44
Pb 0.7313 0.1389 0.8230  6 O 2.21-2.44
Pb 0.8611 0.5923 0.8230  6 O 2.21-2.44
O 0.0086 0.3308 0.8281  2 B 1.45-1.49
O 0.0326 0.8742 0.7557  2 B 1.37-1.53
O 0.0387 0.5309 0.0204  2 B 1.44-1.47
O 0.1149 0.3503 0.5695  2 B 1.44-1.45
O 0.1258 0.1584 0.7557  2 B 1.37-1.53
O 0.1394 0.7025 0.7939  2 B 1.47-1.48
O 0.1584 0.1258 0.2557  2 B 1.37-1.53
O 0.1853 0.3890 0.0553  2 B 1.46-1.47
O 0.2037 0.8147 0.0553  2 B 1.46-1.47
O 0.2354 0.8851 0.5695  2 B 1.44-1.45
O 0.2975 0.4369 0.7939  2 B 1.47-1.48
O 0.3223 0.9914 0.8281  2 B 1.45-1.49
O 0.3308 0.0086 0.3281  2 B 1.45-1.49
O 0.3333 0.6667 0.3306  3 Pb 2.21
O 0.3333 0.6667 0.9580  3 B 1.52
O 0.3503 0.1149 0.0695  2 B 1.44-1.45
O 0.3890 0.1853 0.5553  2 B 1.46-1.47
O 0.4369 0.2975 0.2939  2 B 1.47-1.48
O 0.4691 0.5079 0.0204  2 B 1.44-1.47
O 0.4921 0.9613 0.0204  2 B 1.44-1.47
O 0.5079 0.4691 0.5204  2 B 1.44-1.47
O 0.5309 0.0387 0.5204  2 B 1.44-1.47
O 0.5631 0.8606 0.7939  2 B 1.47-1.48
O 0.6110 0.7963 0.0553  2 B 1.46-1.47
O 0.6497 0.7646 0.5695  2 B 1.44-1.45
O 0.6667 0.3333 0.4580  3 B 1.52
O 0.6667 0.3333 0.8306  3 Pb 2.21
O 0.6692 0.6777 0.8281  2 B 1.45-1.49
O 0.6777 0.6692 0.3281  2 B 1.45-1.49
O 0.7025 0.1394 0.2939  2 B 1.47-1.48
O 0.7646 0.6497 0.0695  2 B 1.44-1.45
O 0.7963 0.6110 0.5553  2 B 1.46-1.47
O 0.8147 0.2037 0.5553  2 B 1.46-1.47
O 0.8416 0.9674 0.7557  2 B 1.37-1.53
O 0.8606 0.5631 0.2939  2 B 1.47-1.48
O 0.8742 0.0326 0.2557  2 B 1.37-1.53
O 0.8851 0.2354 0.0695  2 B 1.44-1.45
O 0.9613 0.4921 0.5204  2 B 1.44-1.47
O 0.9674 0.8416 0.2557  2 B 1.37-1.53
O 0.9914 0.3223 0.3281  2 B 1.45-1.49

---

[5]
Here is a relaxed structure of MnTc2TeSe from Alexandria. Energies are from PBEsol.

Output
Crystal system: tetragonal
DFT total energy (eV per cell): -31.2

Cell lengths 4.8447, 4.8447, 4.7919 Å; angles 90.00, 90.00, 90.00 degrees
Closest atoms and distances in Å follow each position.
Positions (direct):
Mn 0.0000 0.0000 0.0000  2 Te 2.40
Tc 0.0000 0.5000 0.5000  2 Te 2.42
Tc 0.5000 0.0000 0.5000  2 Te 2.42
Te 0.0000 0.0000 0.5000  2 Mn 2.40, 4 Tc 2.42
Se 0.5000 0.5000 0.0000  8 Tc 3.41, 4 Mn 3.43

---

[6]
Here is a relaxed structure of ErCdPt2 from Alexandria. Energies are from PBEsol.

Output
Crystal system: cubic
DFT total energy (eV per cell): -23.4

Cell lengths 4.6901, 4.6901, 4.6901 Å; angles 60.00, 60.00, 60.00 degrees
Closest atoms and distances in Å follow each position.
Positions (direct):
Er 0.0000 0.0000 0.0000  8 Pt 2.87
Cd 0.5000 0.5000 0.5000  8 Pt 2.87
Pt 0.2500 0.2500 0.2500  4 Cd 2.87, 4 Er 2.87
Pt 0.7500 0.7500 0.7500  4 Cd 2.87, 4 Er 2.87

---

Please write out number 5 again, unchanged.
Here is a relaxed structure of MnTc2TeSe from Alexandria. Energies are from PBEsol.

Output
Crystal system: tetragonal
DFT total energy (eV per cell): -31.2

Cell lengths 4.8447, 4.8447, 4.7919 Å; angles 90.00, 90.00, 90.00 degrees
Closest atoms and distances in Å follow each position.
Positions (direct):
Mn 0.0000 0.0000 0.0000  2 Te 2.40
Tc 0.0000 0.5000 0.5000  2 Te 2.42
Tc 0.5000 0.0000 0.5000  2 Te 2.42
Te 0.0000 0.0000 0.5000  2 Mn 2.40, 4 Tc 2.42
Se 0.5000 0.5000 0.0000  8 Tc 3.41, 4 Mn 3.43